Material: BeHg2Te
Method: DFT, GGA-PBE
State: optimized geometry

DOS(E_F)	1.32	states/eV/cell
energy relative to the elements, uncorrected	0.333	eV/atom
E above lowest polymorph	367	meV/atom

a = 3.953 Å, b = 3.934 Å, c = 6.747 Å
α = 90.00°, β = 99.72°, γ = 90.00°
Space group P2/m (No. 10)
One atom of each set of equivalent atoms:
1 Be 0.000 0.000 0.000 (multiplicity 1)
2 Hg 0.000 0.000 0.500 (multiplicity 1)
3 Hg 0.500 0.500 0.500 (multiplicity 1)
4 Te 0.500 0.500 0.000 (multiplicity 1)

Material: Tb3ErTm6Sc2
Method: DFT, GGA-PBE
State: optimized geometry

DOS(E_F)	35.94	states/eV/cell
energy of formation from the pure elements	0.0381	eV/atom

a = 6.020 Å, b = 10.416 Å, c = 11.484 Å
α = 90.00°, β = 100.04°, γ = 90.00°
Space group C2/m (No. 12)
One atom of each set of equivalent atoms:
1 Tb 0.000 0.000 0.000 (multiplicity 2)
2 Tb 0.000 0.333 0.000 (multiplicity 4)
3 Er 0.000 0.500 0.500 (multiplicity 2)
4 Tm 0.246 0.000 0.744 (multiplicity 4)
5 Tm 0.249 0.332 0.744 (multiplicity 8)
6 Sc 0.000 0.167 0.500 (multiplicity 4)

Material: TmNbReRu
Method: DFT, GGA-PBE
State: optimized geometry

DOS(E_F)	12.46	states/eV/cell
energy of formation from the pure elements	-0.1618	eV/atom

a = 6.534 Å, b = 6.534 Å, c = 6.534 Å
α = 90.00°, β = 90.00°, γ = 90.00°
Space group F-43m (No. 216)
One atom of each set of equivalent atoms:
1 Tm 0.000 0.000 0.000 (multiplicity 4)
2 Nb 0.000 0.000 0.500 (multiplicity 4)
3 Re 0.250 0.250 0.750 (multiplicity 4)
4 Ru 0.250 0.250 0.250 (multiplicity 4)

> Which of these has the lowest DOS(E_F)?

BeHg2Te

> DOS(E_F) of number 1 (BeHg2Te)?

1.32 states/eV/cell

Please write out number 3 again, unchanged.
Material: TmNbReRu
Method: DFT, GGA-PBE
State: optimized geometry

DOS(E_F)	12.46	states/eV/cell
energy of formation from the pure elements	-0.1618	eV/atom

a = 6.534 Å, b = 6.534 Å, c = 6.534 Å
α = 90.00°, β = 90.00°, γ = 90.00°
Space group F-43m (No. 216)
One atom of each set of equivalent atoms:
1 Tm 0.000 0.000 0.000 (multiplicity 4)
2 Nb 0.000 0.000 0.500 (multiplicity 4)
3 Re 0.250 0.250 0.750 (multiplicity 4)
4 Ru 0.250 0.250 0.250 (multiplicity 4)